TeOsCl4 | PBE-GGA | relaxed

Structure (POSCAR):
```
TeOsCl4
1.0
0.000 4.045 4.045
4.045 0.000 4.045
4.045 4.045 0.000
Cl Os Te
4 1 1
Direct
0.376 0.376 0.376
0.376 0.376 0.873
0.873 0.376 0.376
0.376 0.873 0.376
0.750 0.750 0.750
0.000 0.000 0.000
```

## Properties
- Uncorrected formation energy: 1.434 eV per atom
- Space-group type: F-43m, No. 216

=====

TcHgRh2 | PBE-GGA | relaxed

Structure (POSCAR):
```
TcHgRh2
1.0
-1.180 -2.737 3.846
1.479 -1.852 4.249
-1.609 3.449 3.047
Rh Tc Hg
2 1 1
Direct
0.007 0.007 0.996
0.753 0.753 0.727
0.490 0.490 0.540
0.250 0.250 0.236
```

## Properties
- Calculated total energy: -6.105 eV per atom
- Space-group type: Cm, No. 8